Entry 1:
PBE YCu2Ni3, optimized geometry; VASP energy = -5.429 eV/atom; energy of formation from the pure elements = -95 meV/atom; V = 13.78 A^3/atom; N(E_F) = 3.32 states/eV/f.u.
1.0
2.671 1.542 6.691
-2.671 1.542 6.691
0.000 -3.084 6.691
Y Cu Ni
2 4 6
Direct
0.211 0.211 0.211 Y
0.789 0.789 0.789 Y
0.000 0.000 0.000 Cu
0.000 0.500 0.500 Cu
0.500 0.000 0.500 Cu
0.500 0.500 0.000 Cu
0.250 0.722 0.722 Ni
0.278 0.278 0.750 Ni
0.278 0.750 0.278 Ni
0.722 0.250 0.722 Ni
0.722 0.722 0.250 Ni
0.750 0.278 0.278 Ni



Entry 2:
PBE Y5CuNi2, optimized geometry; VASP energy = -6.253 eV/atom; energy of formation from the pure elements = -256 meV/atom; V = 23.45 A^3/atom; N(E_F) = 8.79 states/eV/f.u.
1.0
-3.798 3.798 6.502
3.798 -3.798 6.502
3.798 3.798 -6.502
Y Cu Ni
10 2 4
Direct
0.000 0.000 0.000 Y
0.023 0.523 0.827 Y
0.197 0.023 0.500 Y
0.303 0.803 0.827 Y
0.477 0.303 0.500 Y
0.500 0.500 0.000 Y
0.523 0.697 0.500 Y
0.697 0.197 0.173 Y
0.803 0.977 0.500 Y
0.977 0.477 0.173 Y
0.250 0.250 0.000 Cu
0.750 0.750 0.000 Cu
0.125 0.375 0.500 Ni
0.375 0.875 0.250 Ni
0.625 0.125 0.750 Ni
0.875 0.625 0.500 Ni